{
  "formula": "KAc4Ge2",
  "functional": "PBE",
  "state": "optimized geometry",
  "cell": [[8.223, 1.094, 0.924], [0.493, 8.298, -0.920], [-3.648, -5.353, 8.815]],
  "species": ["Ge", "Ac", "Ge", "Ac", "K", "Ac", "Ac", "Ac", "Ac", "K", "Ac", "Ge", "Ge", "Ac"],
  "frac_coords": [[0.677, 0.846, 0.274], [0.396, 0.754, 0.959], [0.097, 0.535, 0.945], [0.400, 0.633, 0.257], [0.073, 0.571, 0.500], [0.512, 0.255, 0.378], [0.877, 0.134, 0.623], [0.969, 0.967, 0.209], [0.760, 0.761, 0.792], [0.154, 0.154, 0.999], [0.379, 0.142, 0.741], [0.573, 0.406, 0.727], [0.590, 0.153, 0.055], [0.795, 0.439, 0.042]],
  "dos_ef_per_ev_atom": 1.234,
  "ef_mev_per_atom": -164,
  "total_energy_ev_per_cell": -55.82,
  "vol_a3_per_atom": 41.815
}

=====

{
  "formula": "KAc2Ge",
  "functional": "PBE",
  "state": "optimized geometry",
  "cell": [[-2.614, 2.820, -1.215], [-2.535, -1.081, 2.944], [4.615, 7.117, 6.588]],
  "species": ["Ge", "Ac", "Ac", "K"],
  "frac_coords": [[0.500, 0.500, 0.000], [0.000, 0.000, 0.156], [0.000, 0.000, 0.844], [0.500, 0.500, 0.500]],
  "dos_ef_per_ev_atom": 1.140,
  "ef_mev_per_atom": -158,
  "total_energy_ev_per_cell": -14.56,
  "vol_a3_per_atom": 43.661
}

=====

{
  "formula": "KAc2Ge",
  "functional": "PBE",
  "state": "optimized geometry",
  "cell": [[-3.976, -1.277, -1.400], [-1.245, -4.202, 0.440], [-6.430, 0.714, 10.679]],
  "species": ["Ac", "Ge", "Ac", "K"],
  "frac_coords": [[0.118, 0.118, 0.646], [0.500, 0.500, 0.500], [0.882, 0.882, 0.354], [0.000, 0.000, 0.000]],
  "dos_ef_per_ev_atom": 1.061,
  "ef_mev_per_atom": -200,
  "total_energy_ev_per_cell": -14.73,
  "vol_a3_per_atom": 51.345
}

=====

{
  "formula": "KAcGe2",
  "functional": "PBE",
  "state": "optimized geometry",
  "cell": [[4.575, 0.000, 0.000], [0.000, 5.005, 0.000], [0.000, 0.000, 5.005]],
  "species": ["Ge", "Ge", "Ac", "K"],
  "frac_coords": [[0.000, 0.500, 0.000], [0.000, 0.000, 0.500], [0.500, 0.500, 0.500], [0.500, 0.000, 0.000]],
  "polymorph_energy_mev_per_atom": 293.9,
  "dos_ef_per_ev_atom": 0.387,
  "ef_mev_per_atom": -166,
  "total_energy_ev_per_cell": -15.11,
  "vol_a3_per_atom": 28.649
}

=====

{
  "formula": "KAcGe",
  "functional": "PBE",
  "state": "optimized geometry",
  "cell": [[5.456, 0.000, 0.000], [2.728, 4.725, 0.000], [2.728, 1.575, 4.455]],
  "species": ["Ge", "K", "Ac"],
  "frac_coords": [[0.250, 0.250, 0.250], [0.000, 0.000, 0.000], [0.500, 0.500, 0.500]],
  "dos_ef_per_ev_atom": 0.370,
  "ef_mev_per_atom": -169,
  "total_energy_ev_per_cell": -10.33,
  "vol_a3_per_atom": 38.281
}

=====

{
  "formula": "KAcGe2",
  "functional": "PBE",
  "state": "optimized geometry",
  "cell": [[-4.400, -0.029, 1.772], [-2.646, -0.640, -6.579], [0.608, -15.407, 1.255]],
  "species": ["Ge", "Ac", "Ac", "Ge", "Ge", "Ac", "K", "Ge", "Ge", "Ac", "Ge", "Ge", "K", "K", "Ge", "K"],
  "frac_coords": [[0.750, 0.936, 0.831], [0.750, 0.250, 0.295], [0.250, 0.250, 0.795], [0.250, 0.435, 0.169], [0.750, 0.436, 0.669], [0.750, 0.750, 0.205], [0.750, 0.750, 0.473], [0.750, 0.565, 0.831], [0.250, 0.935, 0.331], [0.250, 0.750, 0.705], [0.250, 0.064, 0.169], [0.250, 0.564, 0.331], [0.250, 0.250, 0.527], [0.250, 0.750, 0.973], [0.750, 0.065, 0.669], [0.750, 0.250, 0.027]],
  "polymorph_energy_mev_per_atom": 0.0,
  "dos_ef_per_ev_atom": 0.177,
  "ef_mev_per_atom": -460,
  "total_energy_ev_per_cell": -65.12,
  "vol_a3_per_atom": 32.653
}

=====

{
  "formula": "KAcGeO4",
  "functional": "PBE",
  "state": "optimized geometry",
  "cell": [[6.306, 0.000, 0.959], [0.000, 5.905, 0.000], [-1.358, 0.000, 7.738]],
  "species": ["Ac", "K", "K", "Ge", "O", "O", "Ge", "O", "O", "O", "O", "O", "Ac", "O"],
  "frac_coords": [[0.208, 0.250, 0.575], [0.397, 0.250, 0.132], [0.603, 0.750, 0.868], [0.296, 0.750, 0.345], [0.418, 0.750, 0.552], [0.501, 0.750, 0.197], [0.704, 0.250, 0.655], [0.121, 0.514, 0.333], [0.499, 0.250, 0.803], [0.121, 0.986, 0.333], [0.879, 0.486, 0.667], [0.879, 0.014, 0.667], [0.792, 0.750, 0.425], [0.582, 0.250, 0.448]],
  "raw_formation_energy_ev_per_fu": -16.5,
  "dos_ef_per_ev_atom": 0.000,
  "total_energy_ev_per_cell": -92.37,
  "vol_a3_per_atom": 21.134
}

=====

{
  "formula": "KAc4Ge3O12",
  "functional": "PBE",
  "state": "optimized geometry",
  "cell": [[-3.845, 2.754, 5.970], [-4.266, -5.186, -3.594], [6.450, -3.251, 2.415]],
  "species": ["Ac", "Ac", "O", "Ge", "O", "Ac", "Ac", "O", "Ge", "O", "O", "K", "O", "O", "O", "O", "O", "Ge", "O", "O"],
  "frac_coords": [[0.500, 0.000, 0.000], [0.000, 0.500, 0.000], [0.345, 0.852, 0.198], [0.000, 0.500, 0.500], [0.493, 0.345, 0.148], [0.000, 0.000, 0.500], [0.500, 0.500, 0.500], [0.198, 0.345, 0.852], [0.500, 0.000, 0.500], [0.655, 0.148, 0.802], [0.852, 0.507, 0.655], [0.000, 0.000, 0.000], [0.148, 0.493, 0.345], [0.802, 0.655, 0.148], [0.655, 0.852, 0.507], [0.148, 0.802, 0.655], [0.345, 0.148, 0.493], [0.500, 0.500, 0.000], [0.507, 0.655, 0.852], [0.852, 0.198, 0.345]],
  "raw_formation_energy_ev_per_fu": -45.2,
  "dos_ef_per_ev_atom": 0.171,
  "total_energy_ev_per_cell": -136.11,
  "vol_a3_per_atom": 17.004
}

=====

What did the second record say?
{
  "formula": "KAc2Ge",
  "functional": "PBE",
  "state": "optimized geometry",
  "cell": [[-2.614, 2.820, -1.215], [-2.535, -1.081, 2.944], [4.615, 7.117, 6.588]],
  "species": ["Ge", "Ac", "Ac", "K"],
  "frac_coords": [[0.500, 0.500, 0.000], [0.000, 0.000, 0.156], [0.000, 0.000, 0.844], [0.500, 0.500, 0.500]],
  "dos_ef_per_ev_atom": 1.140,
  "ef_mev_per_atom": -158,
  "total_energy_ev_per_cell": -14.56,
  "vol_a3_per_atom": 43.661
}

=====

Number 5 is which compound?
KAcGe